No. 1
Material: La2Tb4Y5
Method: DFT, PBE
State: relaxed

```
11
Lattice="8.328 -3.363 0.000 8.328 3.363 0.000 -1.106 0.000 6.656" Properties=species:S:1:pos:R:3 pbc="T T T"
La 3.029 0.000 1.976
La 12.520 0.000 4.680
Tb 3.181 0.000 5.347
Tb 6.238 0.000 3.970
Tb 9.311 0.000 2.687
Tb 12.369 0.000 1.310
Y -0.553 0.000 3.328
Y 6.743 1.605 0.617
Y 8.807 1.605 6.040
Y 6.743 -1.605 0.617
Y 8.807 -1.605 6.040
```

Calculated values
energy of formation from the pure elements: 0.154 eV/atom
E: -59.00 eV for the cell shown
symmetry: No. 12


No. 2
Material: LaTb9Y2
Method: DFT, PBE
State: relaxed

```
12
Lattice="5.061 0.000 0.000 0.000 5.061 0.000 0.000 0.000 15.203" Properties=species:S:1:pos:R:3 pbc="T T T"
La 0.000 0.000 0.000
Tb 0.000 2.531 2.576
Tb 0.000 2.531 7.602
Tb 0.000 2.531 12.627
Tb 2.531 0.000 2.576
Tb 2.531 0.000 7.602
Tb 2.531 0.000 12.627
Tb 2.531 2.531 0.000
Tb 2.531 2.531 5.102
Tb 2.531 2.531 10.101
Y 0.000 0.000 5.081
Y 0.000 0.000 10.122
```

Calculated values
energy of formation from the pure elements: 0.025 eV/atom
E: -59.23 eV for the cell shown
symmetry: No. 123


No. 3
Material: LaTb5Y3
Method: DFT, PBE
State: relaxed

```
18
Lattice="9.263 -3.168 0.000 9.263 3.168 0.000 -4.209 0.000 10.464" Properties=species:S:1:pos:R:3 pbc="T T T"
La 6.107 2.291 7.848
La 8.211 -2.291 2.616
Tb 5.568 2.012 1.352
Tb 2.780 1.368 8.276
Tb 10.854 2.012 3.880
Tb 8.211 0.661 2.616
Tb 9.433 1.368 7.420
Tb 4.885 -1.368 3.044
Tb 6.107 -0.661 7.848
Tb 3.464 -2.012 6.584
Tb 11.538 -1.368 2.188
Tb 8.750 -2.012 9.111
Y 0.000 0.000 0.000
Y -2.105 0.000 5.232
Y 4.230 1.235 5.058
Y 12.192 1.235 0.174
Y 2.126 -1.235 10.289
Y 10.087 -1.235 5.406
```

Calculated values
energy of formation from the pure elements: 0.303 eV/atom
E: -89.48 eV for the cell shown
symmetry: No. 15


No. 4
Material: LaTb5Y5
Method: DFT, PBE
State: relaxed

```
11
Lattice="6.118 0.000 0.000 -3.059 5.298 0.000 0.000 0.000 11.720" Properties=species:S:1:pos:R:3 pbc="T T T"
La 0.000 0.000 0.000
Tb 0.000 0.000 3.826
Tb 0.000 0.000 7.894
Tb 0.000 3.532 1.842
Tb 0.000 3.532 9.877
Tb 3.059 1.766 0.000
Y -1.527 2.651 5.860
Y 1.527 2.651 5.860
Y 0.000 5.295 5.860
Y 3.059 1.766 3.068
Y 3.059 1.766 8.652
```

Calculated values
energy of formation from the pure elements: 0.333 eV/atom
E: -56.74 eV for the cell shown
symmetry: No. 187


No. 5
Material: La3Tb4Y4
Method: DFT, PBE
State: relaxed

```
11
Lattice="-1.818 4.771 10.898 1.818 -4.771 10.898 1.818 4.771 -10.898" Properties=species:S:1:pos:R:3 pbc="T T T"
La 0.000 0.000 0.000
La 1.818 0.000 8.521
La 0.000 4.771 2.378
Tb 0.000 0.000 5.643
Tb 1.818 3.012 0.000
Tb 0.000 1.758 10.898
Tb 0.000 0.000 16.154
Y 1.818 1.700 -3.234
Y 1.818 1.700 3.234
Y 0.000 3.070 7.665
Y 0.000 3.070 14.132
```

Calculated values
energy of formation from the pure elements: 0.134 eV/atom
E: -57.69 eV for the cell shown
symmetry: No. 71


No. 6
Material: La2Tb3Y3
Method: DFT, PBE
State: relaxed

```
8
Lattice="-2.565 2.566 10.136 2.565 -2.566 10.136 2.565 2.566 -10.136" Properties=species:S:1:pos:R:3 pbc="T T T"
La 0.000 0.000 5.074
La 0.000 0.000 15.198
Tb 0.000 0.000 0.000
Tb 2.565 0.000 7.657
Tb 0.000 2.566 2.479
Y 2.565 0.000 2.476
Y 0.000 0.000 10.136
Y 0.000 2.566 7.660
```

Calculated values
energy of formation from the pure elements: 0.028 eV/atom
E: -42.91 eV for the cell shown
symmetry: No. 71


No. 7
Material: LaTb5Y
Method: DFT, PBE
State: relaxed

```
14
Lattice="5.909 -3.414 0.000 5.909 3.414 0.000 -4.274 0.000 11.494" Properties=species:S:1:pos:R:3 pbc="T T T"
La 2.703 3.215 8.621
La 4.840 -3.215 2.874
Tb 0.107 0.889 8.640
Tb 2.827 1.552 5.749
Tb 2.579 1.552 11.493
Tb 4.840 0.633 2.874
Tb 2.244 -0.889 2.893
Tb 5.299 0.889 8.601
Tb 2.703 -0.633 8.621
Tb 4.964 -1.552 0.002
Tb 4.716 -1.552 5.745
Tb 7.436 -0.889 2.854
Y 2.954 1.707 0.000
Y 0.817 -1.707 5.747
```

Calculated values
energy of formation from the pure elements: 0.184 eV/atom
E: -66.51 eV for the cell shown
symmetry: No. 15


No. 8
Material: La4TbY
Method: DFT, PBE
State: relaxed

```
6
Lattice="3.671 0.000 0.000 0.000 5.239 0.000 0.000 0.000 10.955" Properties=species:S:1:pos:R:3 pbc="T T T"
La 0.000 0.000 1.861
La 0.000 0.000 9.093
La 1.835 2.620 3.600
La 1.835 2.620 7.354
Tb 1.835 2.620 0.000
Y 0.000 0.000 5.477
```

Calculated values
energy of formation from the pure elements: 0.018 eV/atom
E: -30.70 eV for the cell shown
symmetry: No. 47


No. 9
Material: La5Tb2Y2
Method: DFT, PBE
State: relaxed

```
9
Lattice="7.763 -2.607 0.000 7.763 2.607 0.000 -2.630 0.000 7.754" Properties=species:S:1:pos:R:3 pbc="T T T"
La 0.000 0.000 0.000
La 2.584 0.000 2.591
La 2.536 0.000 7.746
La 10.360 0.000 0.009
La 10.312 0.000 5.163
Tb -0.062 0.000 5.154
Tb 12.958 0.000 2.600
Y 5.183 0.000 5.129
Y 7.713 0.000 2.625
```

Calculated values
energy of formation from the pure elements: 0.026 eV/atom
E: -46.59 eV for the cell shown
symmetry: No. 12


No. 10
Material: La5TbY3
Method: DFT, PBE
State: relaxed

```
18
Lattice="-4.748 4.748 7.182 4.748 -4.748 7.182 4.748 4.748 -7.182" Properties=species:S:1:pos:R:3 pbc="T T T"
La 0.000 0.000 0.000
La 6.649 1.901 -1.957
La 1.901 2.847 -1.957
La 6.649 1.901 1.957
La 1.901 2.847 1.957
La 0.000 0.000 7.182
La 2.847 1.901 5.225
La -1.901 2.847 5.225
La 2.847 1.901 9.139
La -1.901 2.847 9.139
Tb 4.748 0.000 3.591
Tb 0.000 4.748 3.591
Y 3.711 1.037 0.000
Y 0.000 0.000 3.591
Y 3.711 -1.037 7.182
Y 1.037 5.785 0.000
Y 0.000 0.000 10.773
Y 1.037 3.711 7.182
```

Calculated values
energy of formation from the pure elements: 0.304 eV/atom
E: -91.84 eV for the cell shown
symmetry: No. 140


No. 11
Material: La12Tb7Y
Method: DFT, PBE
State: relaxed

```
20
Lattice="9.817 5.668 2.130 -9.817 5.668 2.130 0.000 -11.336 2.130" Properties=species:S:1:pos:R:3 pbc="T T T"
La -4.003 -4.402 2.130
La -5.814 -1.266 2.130
La 0.000 -4.014 1.213
La -3.476 2.007 1.213
La -5.814 1.266 4.260
La -1.811 5.668 2.130
La 3.476 2.007 1.213
La -3.476 -2.007 5.176
La -4.003 4.402 4.260
La 1.811 5.668 2.130
La 3.476 -2.007 5.176
La 0.000 4.014 5.176
Tb 0.000 0.000 0.000
Tb -2.445 -1.412 1.932
Tb 2.445 -1.412 1.932
Tb 0.000 2.824 1.932
Tb 0.000 -2.824 4.458
Tb -2.445 1.412 4.458
Tb 2.445 1.412 4.458
Y 0.000 0.000 3.195
```

Calculated values
energy of formation from the pure elements: 0.190 eV/atom
E: -94.21 eV for the cell shown
symmetry: No. 166


No. 12
Material: LaTb5Y7
Method: DFT, PBE
State: relaxed

```
13
Lattice="-3.344 5.615 5.838 3.344 -5.615 5.838 3.344 5.615 -5.838" Properties=species:S:1:pos:R:3 pbc="T T T"
La 0.000 0.000 0.000
Tb 1.569 2.599 2.321
Tb 5.120 2.599 2.321
Tb 0.000 5.615 2.233
Tb -1.776 3.016 8.159
Tb 1.776 3.016 8.159
Y 3.344 1.884 -0.633
Y 3.344 0.000 2.350
Y 3.344 -1.913 5.213
Y 0.000 0.000 4.557
Y 3.344 1.913 5.213
Y 0.000 0.000 8.174
Y 0.000 3.731 5.205
```

Calculated values
energy of formation from the pure elements: 0.232 eV/atom
E: -70.31 eV for the cell shown
symmetry: No. 44


No. 13
Material: La3Tb12Y
Method: DFT, PBE
State: relaxed

```
16
Lattice="5.090 0.000 0.000 0.000 5.090 0.000 0.000 0.000 20.354" Properties=species:S:1:pos:R:3 pbc="T T T"
La 0.000 0.000 0.000
La 0.000 0.000 5.097
La 0.000 0.000 15.257
Tb 0.000 2.545 2.556
Tb 0.000 2.545 7.677
Tb 0.000 2.545 12.677
Tb 0.000 2.545 17.798
Tb 2.545 0.000 2.556
Tb 2.545 0.000 7.677
Tb 2.545 0.000 12.677
Tb 2.545 0.000 17.798
Tb 2.545 2.545 0.000
Tb 2.545 2.545 5.128
Tb 2.545 2.545 10.177
Tb 2.545 2.545 15.226
Y 0.000 0.000 10.177
```

Calculated values
energy of formation from the pure elements: 0.026 eV/atom
E: -76.40 eV for the cell shown
symmetry: No. 123


No. 14
Material: La12Tb7Y
Method: DFT, PBE
State: relaxed

```
20
Lattice="6.264 3.617 5.168 -6.264 3.617 5.168 0.000 -7.233 5.168" Properties=species:S:1:pos:R:3 pbc="T T T"
La -5.476 0.716 6.544
La -3.358 -4.384 8.961
La -0.857 -3.468 6.907
La -3.432 -0.992 8.598
La -2.575 2.477 6.907
La 2.118 -5.100 6.544
La -2.118 5.100 8.961
La 2.575 -2.477 8.598
La 3.432 0.992 6.907
La 0.857 3.468 8.598
La 3.358 4.384 6.544
La 5.476 -0.716 8.961
Tb 0.000 0.000 0.000
Tb -1.980 -0.568 4.761
Tb 1.482 -1.431 4.761
Tb 0.498 1.999 4.761
Tb -0.498 -1.999 10.745
Tb -1.482 1.431 10.745
Tb 1.980 0.568 10.745
Y 0.000 0.000 7.753
```

Calculated values
energy of formation from the pure elements: 0.192 eV/atom
E: -94.17 eV for the cell shown
symmetry: No. 148


No. 15
Material: LaTb8Y2
Method: DFT, PBE
State: relaxed

```
11
Lattice="-2.784 4.093 7.982 2.784 -4.093 7.982 2.784 4.093 -7.982" Properties=species:S:1:pos:R:3 pbc="T T T"
La 0.000 0.000 0.000
Tb 2.784 -1.678 5.762
Tb 2.784 0.000 2.619
Tb 2.784 2.420 0.000
Tb 0.000 2.415 2.221
Tb 2.784 1.678 5.762
Tb 0.000 1.674 7.982
Tb 0.000 4.093 5.363
Tb 0.000 5.772 2.221
Y 0.000 0.000 4.792
Y 0.000 0.000 11.173
```

Calculated values
energy of formation from the pure elements: 0.121 eV/atom
E: -53.57 eV for the cell shown
symmetry: No. 71


No. 16
Material: La8Tb3Y2
Method: DFT, PBE
State: relaxed

```
13
Lattice="6.826 -5.941 0.000 6.826 5.941 0.000 -2.364 0.000 5.695" Properties=species:S:1:pos:R:3 pbc="T T T"
La 0.605 0.000 1.339
La 2.621 2.857 4.842
La 4.002 0.000 2.230
La 8.667 2.857 0.853
La 2.621 -2.857 4.842
La 7.286 0.000 3.464
La 8.667 -2.857 0.853
La 10.683 0.000 4.356
Tb 5.644 3.244 2.847
Tb 6.826 0.000 0.000
Tb 5.644 -3.244 2.847
Y 0.645 0.000 4.655
Y 10.643 0.000 1.040
```

Calculated values
energy of formation from the pure elements: 0.146 eV/atom
E: -64.34 eV for the cell shown
symmetry: No. 12


No. 17
Material: La5Tb2Y2
Method: DFT, PBE
State: relaxed

```
18
Lattice="-7.496 5.913 3.490 7.496 -5.913 3.490 7.496 5.913 -3.490" Properties=species:S:1:pos:R:3 pbc="T T T"
La 0.772 2.744 0.000
La 6.724 2.744 0.000
La -2.153 2.683 1.083
La 9.649 2.683 1.083
La 3.748 2.858 1.208
La 0.772 3.169 3.490
La 6.724 3.169 3.490
La 2.153 9.143 1.083
La -2.153 3.230 4.573
La 3.748 3.055 4.698
Tb 0.000 0.000 2.421
Tb 7.496 0.000 2.421
Tb 3.748 -0.072 2.661
Tb 3.748 5.985 -0.829
Y -1.915 5.842 2.217
Y 1.915 -0.071 5.707
Y 1.915 5.984 2.217
Y 5.581 5.984 2.217
```

Calculated values
energy of formation from the pure elements: 0.195 eV/atom
E: -90.15 eV for the cell shown
symmetry: No. 46


No. 18
Material: La4Tb11Y9
Method: DFT, PBE
State: relaxed

```
24
Lattice="8.238 -13.334 0.000 8.238 13.334 0.000 0.000 0.000 3.633" Properties=species:S:1:pos:R:3 pbc="T T T"
La 2.794 2.339 0.000
La 2.794 -2.339 0.000
La 13.682 2.339 0.000
La 13.682 -2.339 0.000
Tb 4.636 4.963 1.816
Tb 8.238 10.002 1.816
Tb 4.774 0.000 1.816
Tb 8.238 4.976 1.816
Tb 4.636 -4.963 1.816
Tb 8.238 0.000 1.816
Tb 11.840 4.963 1.816
Tb 8.238 -4.976 1.816
Tb 11.702 0.000 1.816
Tb 8.238 -10.002 1.816
Tb 11.840 -4.963 1.816
Y 0.000 0.000 0.000
Y 6.485 7.461 0.000
Y 6.443 2.497 0.000
Y 9.991 7.461 0.000
Y 6.443 -2.497 0.000
Y 10.033 2.497 0.000
Y 6.485 -7.461 0.000
Y 10.033 -2.497 0.000
Y 9.991 -7.461 0.000
```

Calculated values
energy of formation from the pure elements: 0.045 eV/atom
E: -127.73 eV for the cell shown
symmetry: No. 65


No. 19
Material: La6TbY12
Method: DFT, PBE
State: relaxed

```
19
Lattice="6.751 3.898 4.232 -6.751 3.898 4.232 0.000 -7.795 4.232" Properties=species:S:1:pos:R:3 pbc="T T T"
La -2.966 -1.712 5.699
La 0.000 -3.425 6.997
La -2.966 1.712 6.997
La 2.966 -1.712 5.699
La 0.000 3.425 5.699
La 2.966 1.712 6.997
Tb 0.000 0.000 6.348
Y -1.724 -4.808 4.232
Y -5.026 0.911 4.232
Y 0.000 -2.127 3.025
Y -1.842 1.064 3.025
Y 1.724 -4.808 4.232
Y -3.302 3.898 4.232
Y 1.842 1.064 3.025
Y -1.842 -1.064 9.671
Y 5.026 0.911 4.232
Y 3.302 3.898 4.232
Y 1.842 -1.064 9.671
Y 0.000 2.127 9.671
```

Calculated values
energy of formation from the pure elements: 0.211 eV/atom
E: -107.76 eV for the cell shown
symmetry: No. 166